--- w ---
{
  "formula": "TlSn4Br8",
  "functional": "GGA-PBE",
  "state": "relaxed",
  "rho_g_cm3": 3.94,
  "crystal_system": "cubic",
  "lattice_angstrom": [[0.000, 6.523, 6.523], [6.523, 0.000, 6.523], [6.523, 6.523, 0.000]],
  "species": ["Tl", "Sn", "Sn", "Sn", "Sn", "Br", "Br", "Br", "Br", "Br", "Br", "Br", "Br"],
  "frac_coords": [[0.000, 0.000, 0.000], [0.379, 0.379, 0.379], [0.379, 0.379, 0.864], [0.379, 0.864, 0.379], [0.864, 0.379, 0.379], [0.141, 0.141, 0.141], [0.141, 0.141, 0.576], [0.141, 0.576, 0.141], [0.169, 0.610, 0.610], [0.576, 0.141, 0.141], [0.610, 0.169, 0.610], [0.610, 0.610, 0.169], [0.610, 0.610, 0.610]]
}

***

--- x ---
{
  "formula": "TlSn4Br8",
  "functional": "GGA-PBE",
  "state": "relaxed",
  "rho_g_cm3": 4.15,
  "crystal_system": "trigonal",
  "lattice_angstrom": [[4.538, 2.620, 7.402], [-4.538, 2.620, 7.402], [0.000, -5.240, 7.402]],
  "species": ["Tl", "Sn", "Sn", "Sn", "Sn", "Br", "Br", "Br", "Br", "Br", "Br", "Br", "Br"],
  "frac_coords": [[0.000, 0.000, 0.000], [0.000, 0.000, 0.500], [0.000, 0.500, 0.000], [0.500, 0.000, 0.000], [0.500, 0.500, 0.500], [0.236, 0.236, 0.236], [0.242, 0.737, 0.737], [0.263, 0.263, 0.758], [0.263, 0.758, 0.263], [0.737, 0.242, 0.737], [0.737, 0.737, 0.242], [0.758, 0.263, 0.263], [0.764, 0.764, 0.764]]
}

***

Stability comparison, relative energies in meV per atom: w 13; x 0

***

--- w ---
{
  "formula": "Tl3Sn2Br7",
  "functional": "GGA-PBE",
  "state": "relaxed",
  "rho_g_cm3": 4.92,
  "crystal_system": "tetragonal",
  "lattice_angstrom": [[-2.923, 2.923, 13.915], [2.923, -2.923, 13.915], [2.923, 2.923, -13.915]],
  "species": ["Tl", "Tl", "Tl", "Sn", "Sn", "Br", "Br", "Br", "Br", "Br", "Br", "Br"],
  "frac_coords": [[0.000, 0.000, 0.000], [0.179, 0.179, 0.000], [0.821, 0.821, 0.000], [0.394, 0.394, 0.000], [0.606, 0.606, 0.000], [0.100, 0.600, 0.500], [0.290, 0.290, 0.000], [0.400, 0.900, 0.500], [0.500, 0.500, 0.000], [0.600, 0.100, 0.500], [0.710, 0.710, 0.000], [0.900, 0.400, 0.500]]
}

***

--- x ---
{
  "formula": "Tl3Sn2Br7",
  "functional": "GGA-PBE",
  "state": "relaxed",
  "rho_g_cm3": 4.85,
  "crystal_system": "monoclinic",
  "lattice_angstrom": [[2.936, -14.214, 0.000], [2.936, 14.214, 0.000], [-0.048, 0.000, 5.779]],
  "species": ["Tl", "Tl", "Tl", "Sn", "Sn", "Br", "Br", "Br", "Br", "Br", "Br", "Br"],
  "frac_coords": [[0.000, 0.000, 0.000], [0.176, 0.824, 0.000], [0.824, 0.176, 0.000], [0.391, 0.609, 0.500], [0.609, 0.391, 0.500], [0.104, 0.896, 0.500], [0.294, 0.706, 0.500], [0.394, 0.606, 0.000], [0.500, 0.500, 0.500], [0.606, 0.394, 0.000], [0.706, 0.294, 0.500], [0.896, 0.104, 0.500]]
}

***

Stability comparison, relative energies in meV per atom: w 0; x 35

***

--- w ---
{
  "formula": "Tl2Sn2Br7",
  "functional": "GGA-PBE",
  "state": "relaxed",
  "rho_g_cm3": 4.83,
  "crystal_system": "monoclinic",
  "lattice_angstrom": [[6.141, -4.763, 0.000], [6.141, 4.763, 0.000], [-0.752, 0.000, 7.084]],
  "species": ["Tl", "Tl", "Sn", "Sn", "Br", "Br", "Br", "Br", "Br", "Br", "Br"],
  "frac_coords": [[0.238, 0.762, 0.000], [0.762, 0.238, 0.000], [0.239, 0.239, 0.519], [0.761, 0.761, 0.481], [0.000, 0.000, 0.500], [0.075, 0.472, 0.250], [0.440, 0.440, 0.733], [0.472, 0.075, 0.250], [0.528, 0.925, 0.750], [0.560, 0.560, 0.267], [0.925, 0.528, 0.750]]
}

***

--- x ---
{
  "formula": "Tl2Sn2Br7",
  "functional": "GGA-PBE",
  "state": "relaxed",
  "rho_g_cm3": 4.27,
  "crystal_system": "monoclinic",
  "lattice_angstrom": [[5.540, -6.026, 0.000], [5.540, 6.026, 0.000], [-0.689, 0.000, 7.028]],
  "species": ["Tl", "Tl", "Sn", "Sn", "Br", "Br", "Br", "Br", "Br", "Br", "Br"],
  "frac_coords": [[0.215, 0.785, 0.000], [0.785, 0.215, 0.000], [0.277, 0.277, 0.510], [0.778, 0.778, 0.415], [0.030, 0.030, 0.341], [0.103, 0.416, 0.772], [0.416, 0.103, 0.772], [0.530, 0.530, 0.437], [0.555, 0.982, 0.259], [0.843, 0.843, 0.796], [0.982, 0.555, 0.259]]
}

***

Stability comparison, relative energies in meV per atom: w 10; x 0

***

--- w ---
{
  "formula": "Tl3SnBr6",
  "functional": "GGA-PBE",
  "state": "relaxed",
  "rho_g_cm3": 5.39,
  "crystal_system": "monoclinic",
  "lattice_angstrom": [[7.751, 0.000, 0.000], [0.000, 8.469, 0.000], [-7.450, 0.000, 11.366]],
  "species": ["Tl", "Tl", "Tl", "Tl", "Tl", "Tl", "Sn", "Sn", "Br", "Br", "Br", "Br", "Br", "Br", "Br", "Br", "Br", "Br", "Br", "Br"],
  "frac_coords": [[0.000, 0.000, 0.000], [0.000, 0.500, 0.500], [0.210, 0.082, 0.744], [0.210, 0.418, 0.244], [0.790, 0.582, 0.756], [0.790, 0.918, 0.256], [0.500, 0.000, 0.500], [0.500, 0.500, 0.000], [0.152, 0.176, 0.449], [0.152, 0.324, 0.949], [0.264, 0.718, 0.430], [0.264, 0.782, 0.930], [0.394, 0.048, 0.268], [0.394, 0.452, 0.768], [0.606, 0.548, 0.232], [0.606, 0.952, 0.732], [0.736, 0.218, 0.070], [0.736, 0.282, 0.570], [0.848, 0.676, 0.051], [0.848, 0.824, 0.551]]
}

***

--- x ---
{
  "formula": "Tl3SnBr6",
  "functional": "GGA-PBE",
  "state": "relaxed",
  "rho_g_cm3": 5.08,
  "crystal_system": "trigonal",
  "lattice_angstrom": [[6.677, 3.855, 5.126], [-6.677, 3.855, 5.126], [0.000, -7.710, 5.126]],
  "species": ["Tl", "Tl", "Tl", "Tl", "Tl", "Tl", "Sn", "Sn", "Br", "Br", "Br", "Br", "Br", "Br", "Br", "Br", "Br", "Br", "Br", "Br"],
  "frac_coords": [[0.032, 0.571, 0.737], [0.263, 0.968, 0.429], [0.429, 0.263, 0.968], [0.571, 0.737, 0.032], [0.737, 0.032, 0.571], [0.968, 0.429, 0.263], [0.000, 0.000, 0.000], [0.500, 0.500, 0.500], [0.037, 0.923, 0.688], [0.077, 0.312, 0.963], [0.302, 0.311, 0.590], [0.311, 0.590, 0.302], [0.312, 0.963, 0.077], [0.410, 0.698, 0.689], [0.590, 0.302, 0.311], [0.688, 0.037, 0.923], [0.689, 0.410, 0.698], [0.698, 0.689, 0.410], [0.923, 0.688, 0.037], [0.963, 0.077, 0.312]]
}

***

Stability comparison, relative energies in meV per atom: w 9; x 0

***

--- w ---
{
  "formula": "TlSnBr4",
  "functional": "GGA-PBE",
  "state": "relaxed",
  "rho_g_cm3": 3.96,
  "crystal_system": "tetragonal",
  "lattice_angstrom": [[-5.495, 5.495, 4.466], [5.495, -5.495, 4.466], [5.495, 5.495, -4.466]],
  "species": ["Tl", "Tl", "Sn", "Sn", "Br", "Br", "Br", "Br", "Br", "Br", "Br", "Br"],
  "frac_coords": [[0.375, 0.625, 0.750], [0.625, 0.375, 0.250], [0.125, 0.875, 0.250], [0.875, 0.125, 0.750], [0.120, 0.684, 0.436], [0.253, 0.316, 0.936], [0.316, 0.253, 0.436], [0.316, 0.880, 0.064], [0.684, 0.120, 0.936], [0.684, 0.747, 0.564], [0.747, 0.684, 0.064], [0.880, 0.316, 0.564]]
}

***

--- x ---
{
  "formula": "TlSnBr4",
  "functional": "GGA-PBE",
  "state": "relaxed",
  "rho_g_cm3": 4.82,
  "crystal_system": "monoclinic",
  "lattice_angstrom": [[4.949, -7.735, 0.000], [4.949, 7.735, 0.000], [-3.853, 0.000, 5.787]],
  "species": ["Tl", "Tl", "Sn", "Sn", "Br", "Br", "Br", "Br", "Br", "Br", "Br", "Br"],
  "frac_coords": [[0.140, 0.860, 0.750], [0.860, 0.140, 0.250], [0.417, 0.583, 0.250], [0.583, 0.417, 0.750], [0.139, 0.549, 0.329], [0.228, 0.322, 0.779], [0.322, 0.228, 0.279], [0.451, 0.861, 0.171], [0.549, 0.139, 0.829], [0.678, 0.772, 0.721], [0.772, 0.678, 0.221], [0.861, 0.451, 0.671]]
}

***

Stability comparison, relative energies in meV per atom: w 6; x 0

***

--- w ---
{
  "formula": "TlSn2Br2",
  "functional": "GGA-PBE",
  "state": "relaxed",
  "rho_g_cm3": 5.73,
  "crystal_system": "tetragonal",
  "lattice_angstrom": [[7.911, 0.000, 0.000], [0.000, 7.911, 0.000], [0.000, 0.000, 5.576]],
  "species": ["Tl", "Tl", "Sn", "Sn", "Sn", "Sn", "Br", "Br", "Br", "Br"],
  "frac_coords": [[0.000, 0.000, 0.000], [0.500, 0.500, 0.000], [0.136, 0.364, 0.000], [0.364, 0.864, 0.000], [0.636, 0.136, 0.000], [0.864, 0.636, 0.000], [0.202, 0.298, 0.500], [0.298, 0.798, 0.500], [0.702, 0.202, 0.500], [0.798, 0.702, 0.500]]
}

***

--- x ---
{
  "formula": "TlSn2Br2",
  "functional": "GGA-PBE",
  "state": "relaxed",
  "rho_g_cm3": 6.00,
  "crystal_system": "tetragonal",
  "lattice_angstrom": [[-2.138, 2.138, 9.105], [2.138, -2.138, 9.105], [2.138, 2.138, -9.105]],
  "species": ["Tl", "Sn", "Sn", "Br", "Br"],
  "frac_coords": [[0.000, 0.000, 0.000], [0.250, 0.750, 0.500], [0.750, 0.250, 0.500], [0.398, 0.398, 0.000], [0.602, 0.602, 0.000]]
}

***

Stability comparison, relative energies in meV per atom: w 89; x 0